Entry from the Alexandria database: a relaxed structure of LaMg4Hg (GGA-PBE).

E above lowest polymorph = 164 meV/atom
DFT formation energy = -36 meV per atom

Lattice parameters (Å, degrees): 6.045 6.045 6.045 60.00 60.00 60.00
Sites, in units of the cell vectors:
La 0.000 0.000 0.000
Mg 0.874 0.375 0.375
Mg 0.375 0.375 0.874
Mg 0.375 0.874 0.375
Mg 0.375 0.375 0.375
Hg 0.750 0.750 0.750

***

Entry from the Alexandria database: a relaxed structure of LaMg2Hg (GGA-PBE).

DFT formation energy = -174 meV per atom

Lattice parameters (Å, degrees): 6.236 6.236 5.466 64.03 64.03 35.28
Sites, in units of the cell vectors:
Hg 0.750 0.750 0.750
La 0.250 0.250 0.250
Mg 0.029 0.029 0.971
Mg 0.471 0.471 0.529

***

Entry from the Alexandria database: a relaxed structure of LaMg2Hg (GGA-PBE).

DFT formation energy = -3 meV per atom

Lattice parameters (Å, degrees): 4.552 4.552 11.752 78.83 78.83 90.00
Sites, in units of the cell vectors:
Mg 0.658 0.125 0.250
Mg 0.092 0.625 0.250
Mg 0.375 0.342 0.750
Mg 0.875 0.908 0.750
Hg 0.000 0.000 0.000
Hg 0.750 0.250 0.500
La 0.500 0.500 0.000
La 0.250 0.750 0.500

***

Entry from the Alexandria database: a relaxed structure of La2Mg6Hg3 (GGA-PBE).

DFT formation energy = -249 meV per atom

Lattice parameters (Å, degrees): 4.486 8.609 8.609 120.00 90.00 90.00
Sites, in units of the cell vectors:
La 0.000 0.667 0.333
La 0.000 0.333 0.667
Mg 0.500 0.716 0.716
Mg 0.500 0.000 0.284
Mg 0.000 0.201 0.201
Mg 0.000 0.799 0.000
Mg 0.500 0.284 0.000
Mg 0.000 0.000 0.799
Hg 0.500 0.394 0.394
Hg 0.500 0.606 0.000
Hg 0.500 0.000 0.606

***

Entry from the Alexandria database: a relaxed structure of LaMg5Hg3 (GGA-PBE).

DFT formation energy = -242 meV per atom

Lattice parameters (Å, degrees): 3.805 7.894 15.125 90.00 90.00 103.95
Sites, in units of the cell vectors:
La 0.846 0.692 0.750
La 0.154 0.308 0.250
Mg 0.805 0.611 0.435
Mg 0.195 0.389 0.935
Mg 0.000 0.000 0.500
Mg 0.000 0.000 0.000
Mg 0.452 0.905 0.152
Mg 0.548 0.095 0.848
Mg 0.548 0.095 0.652
Mg 0.805 0.611 0.065
Mg 0.195 0.389 0.565
Mg 0.452 0.905 0.348
Hg 0.378 0.755 0.930
Hg 0.840 0.681 0.250
Hg 0.378 0.755 0.570
Hg 0.622 0.245 0.430
Hg 0.160 0.319 0.750
Hg 0.622 0.245 0.070

***

Entry from the Alexandria database: a relaxed structure of LaMg2Hg2 (GGA-PBE).

E above lowest polymorph = 25 meV/atom
DFT formation energy = -338 meV per atom

Lattice parameters (Å, degrees): 4.420 4.420 6.631 90.00 90.00 90.00
Sites, in units of the cell vectors:
La 0.000 0.000 0.000
Mg 0.500 0.000 0.500
Mg 0.000 0.500 0.500
Hg 0.500 0.500 0.782
Hg 0.500 0.500 0.218

***

Entry from the Alexandria database: a relaxed structure of LaMg2Hg (GGA-PBE).

DFT formation energy = -306 meV per atom

Lattice parameters (Å, degrees): 5.260 5.261 5.253 119.86 119.85 90.34
Sites, in units of the cell vectors:
Mg 0.000 0.000 0.000
Mg 0.750 0.250 0.500
Hg 0.500 0.500 0.000
La 0.250 0.750 0.500

***

Entry from the Alexandria database: a relaxed structure of LaMgHg2 (GGA-PBE).

DFT formation energy = -265 meV per atom

Lattice parameters (Å, degrees): 3.878 3.878 7.118 90.00 90.00 90.00
Site moments in Bohr magnetons follow the coordinates.
Sites, in units of the cell vectors:
Hg 0.000 0.000 0.971  0.00
Hg 0.500 0.500 0.234  0.01
La 0.000 0.000 0.487  0.12
Mg 0.500 0.500 0.807  0.00

***

Entry from the Alexandria database: a relaxed structure of La2Mg16Hg (GGA-PBE).

DFT formation energy = -106 meV per atom

Lattice parameters (Å, degrees): 7.822 7.822 7.822 82.42 82.42 82.42
Sites, in units of the cell vectors:
La 0.671 0.671 0.671
La 0.330 0.330 0.330
Mg 0.700 0.001 0.302
Mg 0.001 0.302 0.700
Mg 0.302 0.700 0.001
Mg 0.001 0.700 0.302
Mg 0.700 0.302 0.001
Mg 0.302 0.001 0.700
Mg 0.349 0.845 0.349
Mg 0.845 0.349 0.349
Mg 0.349 0.349 0.845
Mg 0.649 0.165 0.649
Mg 0.165 0.649 0.649
Mg 0.649 0.649 0.165
Mg 0.999 0.505 0.999
Mg 0.505 0.999 0.999
Mg 0.999 0.999 0.505
Mg 0.090 0.090 0.090
Hg 0.894 0.894 0.894

***

Entry from the Alexandria database: a relaxed structure of La2MgHg2 (GGA-PBE).

E above lowest polymorph = 0 meV/atom
DFT formation energy = -402 meV per atom

Lattice parameters (Å, degrees): 8.480 8.480 4.155 90.00 90.00 90.00
Sites, in units of the cell vectors:
Mg 0.000 0.000 0.000
Mg 0.500 0.500 0.000
Hg 0.369 0.869 0.000
Hg 0.869 0.631 0.000
Hg 0.631 0.131 0.000
Hg 0.131 0.369 0.000
La 0.170 0.670 0.500
La 0.670 0.830 0.500
La 0.830 0.330 0.500
La 0.330 0.170 0.500

***

Entry from the Alexandria database: a relaxed structure of LaMg2Hg3 (GGA-PBE).

E above lowest polymorph = 0 meV/atom
DFT formation energy = -361 meV per atom

Lattice parameters (Å, degrees): 4.931 4.931 14.103 90.00 90.00 120.00
Sites, in units of the cell vectors:
La 0.000 0.000 0.250
La 0.000 0.000 0.750
Mg 0.667 0.333 0.420
Mg 0.333 0.667 0.580
Mg 0.333 0.667 0.920
Mg 0.667 0.333 0.080
Hg 0.000 0.000 0.500
Hg 0.000 0.000 0.000
Hg 0.667 0.333 0.635
Hg 0.333 0.667 0.135
Hg 0.667 0.333 0.865
Hg 0.333 0.667 0.365

***

Entry from the Alexandria database: a relaxed structure of LaMgMnHg2 (GGA-PBE).

DFT formation energy = 131 meV per atom

Lattice parameters (Å, degrees): 5.136 4.980 5.136 90.00 90.00 90.00
Site moments in Bohr magnetons follow the coordinates.
Sites, in units of the cell vectors:
Mg 0.000 0.500 0.000  -0.02
Mn 0.000 0.000 0.000  3.24
Hg 0.000 0.000 0.500  -0.01
Hg 0.500 0.000 0.000  -0.04
La 0.500 0.500 0.500  -0.21

***

Entry from the Alexandria database: a relaxed structure of LaMgHg2Mo (GGA-PBE).

DFT formation energy = 633 meV per atom

Lattice parameters (Å, degrees): 5.043 5.153 5.043 90.00 90.00 90.00
Site moments in Bohr magnetons follow the coordinates.
Sites, in units of the cell vectors:
Mg 0.000 0.000 0.000  -0.01
Mo 0.000 0.500 0.000  1.86
Hg 0.000 0.000 0.500  -0.02
Hg 0.500 0.000 0.000  -0.01
La 0.500 0.500 0.500  -0.03

***

Entry from the Alexandria database: a relaxed structure of LaMg2HgN (GGA-PBE).

formation energy without anion corrections = -0.490 eV/atom

Lattice parameters (Å, degrees): 4.476 4.476 5.109 90.00 90.00 90.00
Sites, in units of the cell vectors:
Mg 0.000 0.500 0.000
Mg 0.500 0.000 0.000
N 0.000 0.000 0.000
Hg 0.500 0.500 0.500
La 0.000 0.000 0.500

***

Entry from the Alexandria database: a relaxed structure of LaNdMg2Hg4 (GGA-PBE).

DFT formation energy = -482 meV per atom

Lattice parameters (Å, degrees): 5.220 5.220 9.038 73.21 73.21 60.00
Sites, in units of the cell vectors:
La 0.000 0.000 0.000
Nd 0.500 0.500 0.500
Mg 0.750 0.750 0.749
Mg 0.250 0.250 0.251
Hg 0.376 0.376 0.872
Hg 0.874 0.874 0.379
Hg 0.126 0.126 0.621
Hg 0.624 0.624 0.128

***

Entry from the Alexandria database: a relaxed structure of LaMg2NiHg (GGA-PBE).

E above lowest polymorph = 85 meV/atom
DFT formation energy = -145 meV per atom

Lattice parameters (Å, degrees): 4.835 4.835 5.063 90.00 90.00 90.00
Sites, in units of the cell vectors:
Ni 0.000 0.000 0.000
Mg 0.000 0.500 0.000
Mg 0.500 0.000 0.000
Hg 0.000 0.000 0.500
La 0.500 0.500 0.500

***

Entry from the Alexandria database: a relaxed structure of La2MgNiHg (GGA-PBE).

E above lowest polymorph = 93 meV/atom
DFT formation energy = -172 meV per atom

Lattice parameters (Å, degrees): 5.354 5.354 5.047 90.00 90.00 90.00
Sites, in units of the cell vectors:
Ni 0.000 0.000 0.000
Mg 0.500 0.500 0.500
Hg 0.000 0.000 0.500
La 0.000 0.500 0.000
La 0.500 0.000 0.000

***

Entry from the Alexandria database: a relaxed structure of La2MgNiHg (GGA-PBE).

E above lowest polymorph = 0 meV/atom
DFT formation energy = -265 meV per atom

Lattice parameters (Å, degrees): 5.359 5.359 4.935 90.00 90.00 90.00
Sites, in units of the cell vectors:
Ni 0.000 0.000 0.000
Mg 0.000 0.000 0.500
Hg 0.500 0.500 0.500
La 0.000 0.500 0.000
La 0.500 0.000 0.000

***

Entry from the Alexandria database: a relaxed structure of LaMg2NiHg (GGA-PBE).

E above lowest polymorph = 0 meV/atom
DFT formation energy = -230 meV per atom

Lattice parameters (Å, degrees): 5.010 5.010 5.099 90.00 90.00 90.00
Sites, in units of the cell vectors:
Ni 0.000 0.000 0.000
Mg 0.000 0.500 0.000
Mg 0.500 0.000 0.000
Hg 0.500 0.500 0.500
La 0.000 0.000 0.500

***

Entry from the Alexandria database: a relaxed structure of LaMgHgPb (GGA-PBE).

E above lowest polymorph = 0 meV/atom
DFT formation energy = -411 meV per atom

Lattice parameters (Å, degrees): 4.454 4.904 5.094 90.00 90.00 90.00
Sites, in units of the cell vectors:
La 0.000 0.500 0.500
Mg 0.000 0.000 0.000
Hg 0.500 0.500 0.000
Pb 0.500 0.000 0.500

***

Entry from the Alexandria database: a relaxed structure of LaMgHgPb (GGA-PBE).

E above lowest polymorph = 11 meV/atom
DFT formation energy = -400 meV per atom

Lattice parameters (Å, degrees): 5.386 5.386 5.386 60.00 60.00 60.00
Sites, in units of the cell vectors:
Pb 0.750 0.750 0.750
Mg 0.000 0.000 0.000
Hg 0.250 0.250 0.250
La 0.500 0.500 0.500

***

Entry from the Alexandria database: a relaxed structure of LaPm2MgHg4 (GGA-PBE).

DFT formation energy = -452 meV per atom

Lattice parameters (Å, degrees): 5.234 5.234 9.589 74.16 74.16 60.00
Sites, in units of the cell vectors:
La 0.000 0.000 0.000
Pm 0.758 0.758 0.725
Pm 0.242 0.242 0.275
Mg 0.500 0.500 0.500
Hg 0.379 0.379 0.862
Hg 0.874 0.874 0.378
Hg 0.126 0.126 0.622
Hg 0.621 0.621 0.138

***

Entry from the Alexandria database: a relaxed structure of LaPmMgHg (GGA-PBE).

E above lowest polymorph = 0 meV/atom
DFT formation energy = -294 meV per atom

Lattice parameters (Å, degrees): 3.893 3.893 7.725 90.00 90.00 90.00
Sites, in units of the cell vectors:
La 0.000 0.000 0.856
Pm 0.000 0.000 0.360
Mg 0.500 0.500 0.118
Hg 0.500 0.500 0.593

***

Entry from the Alexandria database: a relaxed structure of LaPmMgHg (GGA-PBE).

E above lowest polymorph = 22 meV/atom
DFT formation energy = -272 meV per atom

Lattice parameters (Å, degrees): 5.486 5.486 5.486 60.00 60.00 60.00
Sites, in units of the cell vectors:
Mg 0.000 0.000 0.000
La 0.750 0.750 0.750
Hg 0.500 0.500 0.500
Pm 0.250 0.250 0.250

***

Entry from the Alexandria database: a relaxed structure of LaPrMgHg (GGA-PBE).

E above lowest polymorph = 0 meV/atom
DFT formation energy = -294 meV per atom

Lattice parameters (Å, degrees): 3.926 3.926 7.753 90.00 90.00 90.00
Sites, in units of the cell vectors:
La 0.000 0.000 0.855
Pr 0.000 0.000 0.359
Mg 0.500 0.500 0.112
Hg 0.500 0.500 0.602

***

Entry from the Alexandria database: a relaxed structure of LaPrMgHg (GGA-PBE).

E above lowest polymorph = 18 meV/atom
DFT formation energy = -276 meV per atom

Lattice parameters (Å, degrees): 5.520 5.520 5.520 60.00 60.00 60.00
Sites, in units of the cell vectors:
Pr 0.250 0.250 0.250
Mg 0.000 0.000 0.000
Hg 0.500 0.500 0.500
La 0.750 0.750 0.750